Entry 1:
A relaxed structure of CeAl3Pd. Source: Alexandria, functional GGA-PBE.

ΔH_f (0 K)   -0.585 eV/atom
Total magnetic moment   0.60 μB per cell
Polymorph energy (0 for the lowest one)   71 meV/atom

Unit cell a=6.296 b=6.296 c=6.296 alpha=141.10 beta=141.10 gamma=56.18
Atoms (fractional coordinates):
Ce (0.000, 0.000, 0.000)
Al (0.385, 0.385, 0.000)
Al (0.615, 0.615, 0.000)
Al (0.750, 0.250, 0.500)
Pd (0.250, 0.750, 0.500)

Entry 2:
A relaxed structure of Ce2Al5Pd4. Source: Alexandria, functional GGA-PBE.

ΔH_f (0 K)   -0.767 eV/atom
Total magnetic moment   1.28 μB per cell

Unit cell a=9.377 b=8.548 c=5.463 alpha=80.77 beta=64.13 gamma=35.10
Atoms (fractional coordinates):
Ce (0.127, 0.127, 0.873)
Ce (0.873, 0.873, 0.127)
Al (0.000, 0.000, 0.500)
Al (0.250, 0.250, 0.250)
Al (0.500, 0.500, 0.000)
Al (0.500, 0.500, 0.500)
Al (0.750, 0.750, 0.750)
Pd (0.211, 0.527, 0.473)
Pd (0.473, 0.789, 0.211)
Pd (0.527, 0.211, 0.789)
Pd (0.789, 0.473, 0.527)

Entry 3:
A relaxed structure of Ce2Al3Pd2. Source: Alexandria, functional GGA-PBE.

ΔH_f (0 K)   -0.685 eV/atom
Total magnetic moment   1.23 μB per cell

Unit cell a=5.580 b=5.580 c=6.902 alpha=112.93 beta=112.93 gamma=46.32
Atoms (fractional coordinates):
Ce (0.149, 0.149, 0.282)
Ce (0.851, 0.851, 0.718)
Al (0.381, 0.381, 0.065)
Al (0.500, 0.500, 0.500)
Al (0.619, 0.619, 0.935)
Pd (0.138, 0.138, 0.726)
Pd (0.862, 0.862, 0.274)

Entry 4:
A relaxed structure of Ce2Al11Pd3. Source: Alexandria, functional GGA-PBE.

ΔH_f (0 K)   -0.551 eV/atom
Total magnetic moment   1.16 μB per cell

Unit cell a=4.275 b=4.275 c=16.665 alpha=90.00 beta=90.00 gamma=90.00
Atoms (fractional coordinates):
Ce (0.000, 0.000, 0.000)
Ce (0.000, 0.000, 0.490)
Al (0.000, 0.500, 0.157)
Al (0.000, 0.500, 0.326)
Al (0.000, 0.500, 0.662)
Al (0.000, 0.500, 0.834)
Al (0.500, 0.000, 0.157)
Al (0.500, 0.000, 0.326)
Al (0.500, 0.000, 0.662)
Al (0.500, 0.000, 0.834)
Al (0.500, 0.500, 0.061)
Al (0.500, 0.500, 0.420)
Al (0.500, 0.500, 0.567)
Pd (0.000, 0.000, 0.242)
Pd (0.000, 0.000, 0.745)
Pd (0.500, 0.500, 0.916)

Entry 5:
A relaxed structure of CeAl4Pd2. Source: Alexandria, functional GGA-PBE.

ΔH_f (0 K)   -0.730 eV/atom
Total magnetic moment   1.06 μB per cell
Polymorph energy (0 for the lowest one)   0 meV/atom

Unit cell a=17.319 b=4.360 c=6.641 alpha=90.00 beta=90.00 gamma=90.00
Atoms (fractional coordinates):
Ce (0.137, 0.250, 0.012)
Ce (0.363, 0.750, 0.512)
Ce (0.637, 0.250, 0.488)
Ce (0.863, 0.750, 0.988)
Al (0.036, 0.750, 0.822)
Al (0.073, 0.250, 0.495)
Al (0.186, 0.750, 0.324)
Al (0.193, 0.750, 0.724)
Al (0.307, 0.250, 0.224)
Al (0.314, 0.250, 0.824)
Al (0.427, 0.750, 0.995)
Al (0.464, 0.250, 0.322)
Al (0.536, 0.750, 0.678)
Al (0.573, 0.250, 0.005)
Al (0.686, 0.750, 0.176)
Al (0.693, 0.750, 0.776)
Al (0.807, 0.250, 0.276)
Al (0.814, 0.250, 0.676)
Al (0.927, 0.750, 0.505)
Al (0.964, 0.250, 0.178)
Pd (0.037, 0.750, 0.246)
Pd (0.218, 0.250, 0.527)
Pd (0.282, 0.750, 0.027)
Pd (0.463, 0.250, 0.746)
Pd (0.537, 0.750, 0.254)
Pd (0.718, 0.250, 0.973)
Pd (0.782, 0.750, 0.473)
Pd (0.963, 0.250, 0.754)

Entry 6:
A relaxed structure of Ce3Al7Pd2. Source: Alexandria, functional GGA-PBE.

ΔH_f (0 K)   -0.639 eV/atom
Total magnetic moment   1.99 μB per cell

Unit cell a=9.333 b=9.333 c=9.333 alpha=34.62 beta=34.62 gamma=34.62
Atoms (fractional coordinates):
Ce (0.000, 0.000, 0.000)
Ce (0.145, 0.145, 0.145)
Ce (0.855, 0.855, 0.855)
Al (0.072, 0.583, 0.583)
Al (0.417, 0.417, 0.928)
Al (0.417, 0.928, 0.417)
Al (0.500, 0.500, 0.500)
Al (0.583, 0.072, 0.583)
Al (0.583, 0.583, 0.072)
Al (0.928, 0.417, 0.417)
Pd (0.336, 0.336, 0.336)
Pd (0.664, 0.664, 0.664)

Entry 7:
A relaxed structure of CeAlPd2. Source: Alexandria, functional GGA-PBE.

ΔH_f (0 K)   -0.742 eV/atom
Total magnetic moment   0.00 μB per cell

Unit cell a=3.092 b=3.092 c=7.434 alpha=90.00 beta=90.00 gamma=90.00
Atoms (fractional coordinates):
Ce (0.000, 0.000, 0.000)
Al (0.000, 0.000, 0.500)
Pd (0.500, 0.500, 0.302)
Pd (0.500, 0.500, 0.698)

Entry 8:
A relaxed structure of CeAl3Pd2. Source: Alexandria, functional GGA-PBE.

ΔH_f (0 K)   -0.815 eV/atom
Total magnetic moment   0.42 μB per cell
Polymorph energy (0 for the lowest one)   0 meV/atom

Unit cell a=5.441 b=5.441 c=4.244 alpha=90.00 beta=90.00 gamma=120.00
Atoms (fractional coordinates):
Ce (0.000, 0.000, 0.000)
Al (0.000, 0.500, 0.500)
Al (0.500, 0.000, 0.500)
Al (0.500, 0.500, 0.500)
Pd (0.333, 0.667, 0.000)
Pd (0.667, 0.333, 0.000)

Entry 9:
A relaxed structure of CeAl11Pd. Source: Alexandria, functional GGA-PBE.

ΔH_f (0 K)   -0.265 eV/atom
Total magnetic moment   0.00 μB per cell

Unit cell a=6.894 b=6.894 c=7.126 alpha=97.35 beta=97.35 gamma=134.92
Atoms (fractional coordinates):
Ce (0.000, 0.000, 0.000)
Al (0.000, 0.000, 0.500)
Al (0.000, 0.500, 0.000)
Al (0.006, 0.651, 0.646)
Al (0.286, 0.502, 0.779)
Al (0.349, 0.994, 0.354)
Al (0.498, 0.714, 0.221)
Al (0.500, 0.000, 0.000)
Al (0.502, 0.286, 0.779)
Al (0.651, 0.006, 0.646)
Al (0.714, 0.498, 0.221)
Al (0.994, 0.349, 0.354)
Pd (0.500, 0.500, 0.500)

Entry 10:
A relaxed structure of CeAl2Pd5. Source: Alexandria, functional GGA-PBE.

ΔH_f (0 K)   -0.865 eV/atom
Total magnetic moment   0.50 μB per cell
Polymorph energy (0 for the lowest one)   0 meV/atom

Unit cell a=8.036 b=8.036 c=8.036 alpha=149.75 beta=149.75 gamma=43.31
Atoms (fractional coordinates):
Ce (0.000, 0.000, 0.000)
Al (0.253, 0.253, 0.000)
Al (0.747, 0.747, 0.000)
Pd (0.145, 0.645, 0.500)
Pd (0.355, 0.855, 0.500)
Pd (0.500, 0.500, 0.000)
Pd (0.645, 0.145, 0.500)
Pd (0.855, 0.355, 0.500)

Entry 11:
A relaxed structure of CeAl9Pd2. Source: Alexandria, functional GGA-PBE.

ΔH_f (0 K)   -0.452 eV/atom
Total magnetic moment   1.61 μB per cell

Unit cell a=8.393 b=8.393 c=8.393 alpha=100.53 beta=100.53 gamma=129.37
Atoms (fractional coordinates):
Ce (0.375, 0.625, 0.750)
Ce (0.625, 0.375, 0.250)
Al (0.125, 0.875, 0.250)
Al (0.132, 0.558, 0.330)
Al (0.132, 0.802, 0.574)
Al (0.198, 0.272, 0.330)
Al (0.198, 0.868, 0.926)
Al (0.272, 0.198, 0.830)
Al (0.272, 0.442, 0.074)
Al (0.442, 0.272, 0.574)
Al (0.442, 0.868, 0.170)
Al (0.558, 0.132, 0.830)
Al (0.558, 0.728, 0.426)
Al (0.728, 0.558, 0.926)
Al (0.728, 0.802, 0.170)
Al (0.802, 0.132, 0.074)
Al (0.802, 0.728, 0.670)
Al (0.868, 0.198, 0.426)
Al (0.868, 0.442, 0.670)
Al (0.875, 0.125, 0.750)
Pd (0.000, 0.000, 0.000)
Pd (0.000, 0.000, 0.500)
Pd (0.000, 0.500, 0.000)
Pd (0.500, 0.000, 0.500)

Entry 12:
A relaxed structure of CeAlPd. Source: Alexandria, functional GGA-PBE.

ΔH_f (0 K)   -0.405 eV/atom
Total magnetic moment   2.96 μB per cell

Unit cell a=5.632 b=5.550 c=4.252 alpha=90.00 beta=90.00 gamma=90.00
Atoms (fractional coordinates):
Ce (0.250, 0.000, 0.143)
Ce (0.750, 0.000, 0.857)
Al (0.250, 0.500, 0.519)
Al (0.750, 0.500, 0.481)
Pd (0.000, 0.500, 0.000)
Pd (0.500, 0.500, 0.000)